No. 1
# BeCuN, optimized geometry, DFT GGA-PBE
# **Raw formation energy**: -0.1116 eV per atom
# **E_tot**: -5.494 eV per atom
data_BeCuN
_symmetry_space_group_name_H-M 'P 4/n m m'
_symmetry_Int_Tables_number 129
_cell_length_a 3.1891
_cell_length_b 3.1891
_cell_length_c 5.0353
_cell_angle_alpha 90.00
_cell_angle_beta 90.00
_cell_angle_gamma 90.00
loop_
_symmetry_equiv_pos_as_xyz
'x,y,z'
'-x,-y,-z'
'-y+1/2,x,z'
'y+1/2,-x,-z'
'-x+1/2,-y+1/2,z'
'x+1/2,y+1/2,-z'
'y,-x+1/2,z'
'-y,x+1/2,-z'
'x+1/2,-y,-z'
'-x+1/2,y,z'
'-y,-x,-z'
'y,x,z'
'-x,y+1/2,-z'
'x,-y+1/2,z'
'y+1/2,x+1/2,-z'
'-y+1/2,-x+1/2,z'
loop_
_atom_site_label
_atom_site_fract_x
_atom_site_fract_y
_atom_site_fract_z
Be1 0.2500 0.7500 0.0000
Cu1 0.2500 0.2500 0.4369
N1 0.2500 0.2500 0.8402

***

No. 2
# Be2CuN, optimized geometry, DFT GGA-PBE
# **Raw formation energy**: -0.3869 eV per atom
# **E_tot**: -5.355 eV per atom
data_Be2CuN
_symmetry_space_group_name_H-M 'P 1 m 1'
_symmetry_Int_Tables_number 6
_cell_length_a 4.3446
_cell_length_b 2.7119
_cell_length_c 6.3440
_cell_angle_alpha 90.00
_cell_angle_beta 99.64
_cell_angle_gamma 90.00
loop_
_symmetry_equiv_pos_as_xyz
'x,y,z'
'x,-y,z'
loop_
_atom_site_label
_atom_site_fract_x
_atom_site_fract_y
_atom_site_fract_z
Be1 0.0000 0.0000 0.0000
Be2 0.0737 0.5000 0.6924
Be3 0.4540 0.0000 0.9258
Be4 0.5488 0.5000 0.1923
Cu1 0.0645 0.0000 0.4048
Cu2 0.5985 0.0000 0.5875
N1 0.2209 0.5000 0.9565
N2 0.7278 0.0000 0.1439

***

No. 3
# BeCuN, optimized geometry, DFT GGA-PBE
# **Raw formation energy**: -0.3177 eV per atom
# **E_tot**: -5.700 eV per atom
data_BeCuN
_symmetry_space_group_name_H-M 'A e m 2'
_symmetry_Int_Tables_number 39
_cell_length_a 2.8698
_cell_length_b 7.4202
_cell_length_c 5.1940
_cell_angle_alpha 90.00
_cell_angle_beta 90.00
_cell_angle_gamma 90.00
loop_
_symmetry_equiv_pos_as_xyz
'x,y,z'
'-x,-y,z'
'-x,y+1/2,z'
'x,-y+1/2,z'
'x,y+1/2,z+1/2'
'-x,-y+1/2,z+1/2'
'-x,y,z+1/2'
'x,-y,z+1/2'
loop_
_atom_site_label
_atom_site_fract_x
_atom_site_fract_y
_atom_site_fract_z
Be1 0.2138 0.2500 0.0000
Cu1 0.5000 0.0000 0.2809
N1 0.2769 0.2500 0.3237

***

No. 4
# BeCuN, optimized geometry, DFT GGA-PBE
# **Raw formation energy**: -0.3302 eV per atom
# **E_tot**: -5.713 eV per atom
data_BeCuN
_symmetry_space_group_name_H-M 'P 1 c 1'
_symmetry_Int_Tables_number 7
_cell_length_a 2.9087
_cell_length_b 4.4790
_cell_length_c 4.9548
_cell_angle_alpha 90.00
_cell_angle_beta 120.97
_cell_angle_gamma 90.00
loop_
_symmetry_equiv_pos_as_xyz
'x,y,z'
'x,-y,z+1/2'
loop_
_atom_site_label
_atom_site_fract_x
_atom_site_fract_y
_atom_site_fract_z
Be1 0.0000 0.0442 0.0000
Cu1 0.3792 0.4778 0.5698
N1 0.3599 0.1549 0.8371